A geometry-optimized Si2TeMo structure. Source: the Alexandria database, functional GGA-PBEsol.

It has space group R-3m (No. 166, hexagonal axes), with a = 3.1371 Å, b = 3.1371 Å, c = 25.1795 Å, α = 90.00°, β = 90.00° and γ = 120.00°. The inequivalent atoms are Si at (0.0000, 0.0000, 0.2355), Te at (0.0000, 0.0000, 0.0000) and Mo at (0.0000, 0.0000, 0.5000).

The value obtained for the energy relative to the elements, uncorrected is 0.22 eV/atom. The value obtained for the volume is 72 Å³/f.u. The calculation puts the electronic total energy at -6.47 eV per atom. Its density of states at the Fermi level is 9.4 states/eV per cell. The size of the total moment comes out at 0.00 μB/cell.